This record from Alexandria describes a relaxed structure of Li4Cu3SbO8. The functional is PBEsol.

Calculated values
* theoretical density: 5.3 g/cm3
* final energy: -88.18 eV per cell
* space group: R-3m
* energy relative to the elements, uncorrected: -1.297 eV per atom

```
Li4Cu3SbO8
1.0
2.9816 1.7214 4.8011
-2.9816 1.7214 4.8011
0.0000 -3.4429 4.8011
Li Cu Sb O
4 3 1 8
direct
0.0000 0.0000 0.0000
0.0000 0.5000 0.5000
0.5000 0.0000 0.5000
0.5000 0.5000 0.0000
0.0000 0.0000 0.5000
0.0000 0.5000 0.0000
0.5000 0.0000 0.0000
0.5000 0.5000 0.5000
0.2339 0.2339 0.2339
0.2616 0.2616 0.7337
0.2616 0.7337 0.2616
0.2663 0.7384 0.7384
0.7337 0.2616 0.2616
0.7384 0.2663 0.7384
0.7384 0.7384 0.2663
0.7661 0.7661 0.7661
```